DFT (PBE-GGA) results for an optimized crystal structure of La4IrCBr2.

Cell: 7.110 4.088 8.006 Å, 90.00 106.21 90.00°
Space group P2/m (No. 10)
Inequivalent atoms, fractional coordinates:
La 0.218 0.000 0.184 [2 per cell]
La 0.243 0.500 0.806 [2 per cell]
Ir 0.500 0.000 0.000 [1 per cell]
C 0.000 0.500 0.000 [1 per cell]
Br 0.000 0.000 0.500 [1 per cell]
Br 0.500 0.500 0.500 [1 per cell]

Values from the calculation:
Calculated volume: 223.5 Å³/cell
Fermi-level density of states: 0.88 states/eV/atom
Theoretical density: 6.8 g cm⁻³
Uncorrected energy: -6.13 eV per atom



DFT (PBE-GGA) results for an optimized crystal structure of Nd8Ir3CBr3.

Cell: 14.290 8.255 9.025 Å, 90.00 121.89 90.00°
Space group C2/m (No. 12)
Inequivalent atoms, fractional coordinates:
Nd 0.017 0.236 0.315 [8 per cell]
Nd 0.219 0.000 0.685 [4 per cell]
Nd 0.233 0.500 0.700 [4 per cell]
Ir 0.000 0.500 0.500 [2 per cell]
Ir 0.250 0.250 0.500 [4 per cell]
C 0.000 0.000 0.500 [2 per cell]
Br 0.000 0.000 0.000 [2 per cell]
Br 0.250 0.250 0.000 [4 per cell]

Values from the calculation:
Calculated volume: 903.9 Å³/cell
Fermi-level density of states: 0.66 states/eV/atom
Theoretical density: 7.3 g cm⁻³
Uncorrected energy: -6.09 eV per atom



DFT (PBE-GGA) results for an optimized crystal structure of Nd4IrCBr2.

Cell: 7.160 3.965 7.859 Å, 90.00 106.48 90.00°
Space group P2/m (No. 10)
Inequivalent atoms, fractional coordinates:
Nd 0.212 0.000 0.182 [2 per cell]
Nd 0.247 0.500 0.809 [2 per cell]
Ir 0.500 0.000 0.000 [1 per cell]
C 0.000 0.500 0.000 [1 per cell]
Br 0.000 0.000 0.500 [1 per cell]
Br 0.500 0.500 0.500 [1 per cell]

Values from the calculation:
Calculated volume: 213.9 Å³/cell
Fermi-level density of states: 0.76 states/eV/atom
Theoretical density: 7.3 g cm⁻³
Uncorrected energy: -5.96 eV per atom



- What is the uncorrected energy in the first record?
  -6.13 eV per atom



- Number 1 is which compound?
  La4IrCBr2